[1]
The following is a DFT calculation (PBE-GGA) of crystalline ZrBe2Ag at its relaxed geometry.

Lattice parameters (Å, degrees): 5.3888 5.3888 4.2379 66.79 66.79 31.29
Closest atoms and distances in Å follow each position.
Positions (direct):
Ag 0.2663 0.2663 0.2341  4 Be 2.62-2.63, 2 Ag 2.91
Be 0.7087 0.7087 0.7913  2 Be 2.17
Be 0.0388 0.0388 0.9609  2 Be 2.17
Zr 0.4862 0.4862 0.5138  4 Be 2.62, 2 Zr 2.91

Density in g/cm3: 6.2
Size of the total moment in μB/atom: 0.000
SG: Imm2
E_tot in eV per atom: -4.550



[2]
The following is a DFT calculation (PBE-GGA) of crystalline CaLa2Nd8 at its relaxed geometry.

Lattice parameters (Å, degrees): 5.1141 5.1141 16.2196 90.00 90.00 90.00
Closest atoms and distances in Å follow each position.
Positions (direct):
Ca 0.0000 0.0000 0.0000  8 Nd 3.82
Nd 0.0000 0.5000 0.8249  2 La 3.59, 6 Nd 3.62-3.64, 2 Ca 3.82
Nd 0.5000 0.5000 0.3347  4 La 3.62, 8 Nd 3.64-3.70
Nd 0.5000 0.0000 0.8249  2 La 3.59, 6 Nd 3.62-3.64, 2 Ca 3.82
Nd 0.5000 0.5000 0.6653  4 La 3.62, 8 Nd 3.64-3.70
Nd 0.0000 0.5000 0.5000  8 Nd 3.62-3.70, 4 La 3.75
Nd 0.0000 0.5000 0.1751  2 La 3.59, 6 Nd 3.62-3.64, 2 Ca 3.82
Nd 0.5000 0.0000 0.1751  2 La 3.59, 6 Nd 3.62-3.64, 2 Ca 3.82
Nd 0.5000 0.0000 0.5000  8 Nd 3.62-3.70, 4 La 3.75
La 0.0000 0.0000 0.6693  12 Nd 3.59-3.75
La 0.0000 0.0000 0.3307  12 Nd 3.59-3.75

Density in g/cm3: 5.8
Size of the total moment in μB/atom: 0.000
SG: P4/mmm
E_tot in eV per atom: -4.413